{"formula": "Ho2LuTc", "functional": "GGA-PBE", "state": "relaxed", "de_polymorph_ev_per_atom": 0.251, "space_group": "R-3m (166)", "vol_a3_per_atom": 26.763, "ef_ev_per_atom": 0.269, "dos_ef_per_ev_atom": 1.40, "cell": [[-0.2628, 3.3323, 0.5944], [-2.1694, 1.1392, 2.3500], [6.8748, 0.7687, 8.4263]], "species": ["Ho", "Ho", "Tc", "Lu"], "fractional_positions": [[0.8963, 0.8963, 0.3111], [0.1037, 0.1037, 0.6889], [0.5000, 0.5000, 0.5000], [0.0000, 0.0000, 0.0000]]}



{"formula": "CaAg3Sn", "functional": "GGA-PBE", "state": "relaxed", "de_polymorph_ev_per_atom": 0.967, "space_group": "Pm-3m (221)", "vol_a3_per_atom": 30.541, "ef_ev_per_atom": 0.765, "dos_ef_per_ev_atom": 0.50, "cell": [[-1.9794, -4.5554, -1.9748], [3.7725, 0.0022, -3.7865], [3.2279, -2.7960, 3.2144]], "species": ["Ag", "Ag", "Ag", "Sn", "Ca"], "fractional_positions": [[0.5000, 0.0000, 0.0000], [0.0000, 0.5000, 0.0000], [0.0000, 0.0000, 0.5000], [0.5000, 0.5000, 0.5000], [0.0000, 0.0000, 0.0000]]}



{"formula": "Cs5In3Hg12", "functional": "GGA-PBE", "state": "relaxed", "space_group": "Ia-3d (230)", "vol_a3_per_atom": 49.550, "ef_ev_per_atom": -0.036, "dos_ef_per_ev_atom": 0.84, "cell": [[-1.3726, -5.6957, -16.2442], [12.8129, -8.3893, 7.9779], [-14.8334, -2.8465, 8.3705]], "species": ["Hg", "Hg", "Hg", "Hg", "Hg", "Hg", "Hg", "Hg", "Hg", "Hg", "Hg", "Hg", "Hg", "Hg", "Hg", "Hg", "Hg", "Hg", "Hg", "Hg", "Hg", "Hg", "Hg", "Hg", "Hg", "Hg", "Hg", "Hg", "Hg", "Hg", "Hg", "Hg", "Hg", "Hg", "Hg", "Hg", "Hg", "Hg", "Hg", "Hg", "Hg", "Hg", "Hg", "Hg", "Hg", "Hg", "Hg", "Hg", "In", "In", "In", "In", "In", "In", "In", "In", "In", "In", "In", "In", "Cs", "Cs", "Cs", "Cs", "Cs", "Cs", "Cs", "Cs", "Cs", "Cs", "Cs", "Cs", "Cs", "Cs", "Cs", "Cs", "Cs", "Cs", "Cs", "Cs"], "fractional_positions": [[0.7501, 0.4009, 0.3508], [0.0501, 0.8993, 0.1492], [0.2499, 0.6507, 0.1007], [0.1007, 0.9499, 0.3508], [0.3993, 0.1492, 0.5501], [0.6507, 0.2499, 0.6007], [0.7499, 0.6007, 0.1507], [0.2501, 0.3993, 0.8493], [0.4499, 0.0991, 0.3493], [0.1492, 0.3993, 0.0501], [0.8493, 0.8993, 0.2501], [0.2499, 0.5991, 0.6492], [0.5501, 0.9009, 0.6507], [0.9009, 0.5501, 0.1507], [0.8508, 0.6007, 0.9499], [0.4009, 0.6507, 0.0501], [0.2501, 0.8508, 0.9009], [0.6492, 0.5501, 0.8993], [0.7501, 0.3493, 0.8993], [0.6007, 0.8508, 0.4499], [0.5991, 0.2499, 0.1492], [0.5991, 0.3493, 0.9499], [0.9009, 0.3508, 0.2501], [0.5501, 0.6492, 0.3993], [0.4499, 0.3508, 0.6007], [0.9499, 0.8493, 0.5991], [0.0501, 0.1507, 0.4009], [0.1492, 0.7499, 0.5991], [0.3493, 0.5991, 0.4499], [0.8508, 0.2501, 0.4009], [0.6492, 0.0991, 0.2499], [0.8993, 0.0501, 0.6492], [0.1507, 0.0501, 0.9009], [0.1007, 0.1507, 0.2499], [0.0991, 0.4499, 0.8493], [0.1507, 0.1007, 0.7499], [0.4009, 0.7501, 0.8508], [0.3508, 0.9009, 0.7501], [0.6007, 0.7499, 0.6507], [0.9499, 0.1007, 0.8508], [0.6507, 0.4009, 0.5501], [0.3993, 0.2501, 0.3493], [0.8493, 0.9499, 0.0991], [0.3508, 0.4499, 0.1007], [0.3493, 0.7501, 0.3993], [0.8993, 0.8493, 0.7501], [0.7499, 0.1492, 0.0991], [0.0991, 0.6492, 0.7499], [0.1250, 0.2500, 0.8750], [0.8750, 0.7500, 0.1250], [0.8750, 0.1250, 0.2500], [0.7500, 0.8750, 0.6250], [0.6250, 0.3750, 0.7500], [0.6250, 0.2500, 0.3750], [0.1250, 0.8750, 0.7500], [0.2500, 0.6250, 0.8750], [0.7500, 0.3750, 0.1250], [0.3750, 0.6250, 0.2500], [0.3750, 0.7500, 0.6250], [0.2500, 0.1250, 0.3750], [0.0000, 0.5000, 0.5000], [0.7500, 0.6250, 0.3750], [0.6250, 0.7500, 0.8750], [0.2500, 0.3750, 0.6250], [0.0000, 0.0000, 0.0000], [0.3750, 0.1250, 0.7500], [0.5000, 0.5000, 0.0000], [0.1250, 0.7500, 0.3750], [0.3750, 0.2500, 0.1250], [0.8750, 0.6250, 0.7500], [0.6250, 0.8750, 0.2500], [0.7500, 0.1250, 0.8750], [0.5000, 0.0000, 0.0000], [0.8750, 0.2500, 0.6250], [0.5000, 0.0000, 0.5000], [0.2500, 0.8750, 0.1250], [0.1250, 0.3750, 0.2500], [0.0000, 0.0000, 0.5000], [0.5000, 0.5000, 0.5000], [0.0000, 0.5000, 0.0000]]}



{"formula": "Mn5P4", "functional": "GGA-PBE", "state": "relaxed", "space_group": "P6_3/mcm (193)", "vol_a3_per_atom": 12.711, "ef_ev_per_atom": -0.293, "dos_ef_per_ev_atom": 0.79, "cell": [[-3.8904, 4.7281, 1.7381], [-2.2727, -4.9359, -3.3140], [-1.3179, -3.1308, 5.5668]], "species": ["P", "P", "P", "P", "P", "P", "P", "P", "Mn", "Mn", "Mn", "Mn", "Mn", "Mn", "Mn", "Mn", "Mn", "Mn"], "fractional_positions": [[0.4122, 0.4122, 0.7500], [0.5878, 0.5878, 0.2500], [0.0000, 0.0000, 0.0000], [0.5878, 0.0000, 0.7500], [0.4122, 0.0000, 0.2500], [0.0000, 0.4122, 0.2500], [0.0000, 0.0000, 0.5000], [0.0000, 0.5878, 0.7500], [0.0000, 0.2474, 0.7500], [0.7526, 0.7526, 0.7500], [0.6667, 0.3333, 0.5000], [0.2474, 0.2474, 0.2500], [0.0000, 0.7526, 0.2500], [0.7526, 0.0000, 0.2500], [0.3333, 0.6667, 0.5000], [0.2474, 0.0000, 0.7500], [0.3333, 0.6667, 0.0000], [0.6667, 0.3333, 0.0000]]}